# 1
# Hf2GaCu6

A relaxed Hf2GaCu6 crystal (PBE, Alexandria via LeMat-Bulk).

abc: 5.174 5.174 5.651
angles: 90.12 90.12 59.95
Fractional coordinates of all 9 atoms:
Hf1 0.167 0.167 0.141
Hf2 0.833 0.833 0.859
Ga1 0.500 0.500 0.000
Cu1 0.148 0.676 0.334
Cu2 0.323 0.323 0.665
Cu3 0.324 0.852 0.666
Cu4 0.676 0.148 0.334
Cu5 0.677 0.677 0.335
Cu6 0.852 0.324 0.666

Calculated values
The symmetry is C2/m (12). The value obtained for the formation energy from the elements is -125 meV/atom.

=====

# 2
# MgSiPb2Cl

A relaxed MgSiPb2Cl crystal (PBE, Alexandria via LeMat-Bulk).

abc: 5.529 5.529 4.939
angles: 90.00 90.00 90.00
Fractional coordinates of all 5 atoms:
Mg1 0.000 0.000 0.000
Si1 0.500 0.500 0.000
Pb1 0.000 0.500 0.500
Pb2 0.500 0.000 0.500
Cl1 0.500 0.500 0.500

Calculated values
The symmetry is P4/mmm (123). For the uncorrected formation energy, the calculation gives 532 meV per atom. As for the offset from the most stable computed form: 121 meV per atom.

=====

# 3
# DyMgNi5As2

A relaxed DyMgNi5As2 crystal (PBE, Alexandria via LeMat-Bulk).

abc: 4.018 4.018 8.049
angles: 90.00 90.00 90.00
Fractional coordinates of all 9 atoms:
Dy1 0.000 0.000 0.000
Mg1 0.000 0.000 0.500
Ni1 0.000 0.500 0.299
Ni2 0.000 0.500 0.701
Ni3 0.500 0.000 0.299
Ni4 0.500 0.000 0.701
Ni5 0.500 0.500 0.500
As1 0.500 0.500 0.161
As2 0.500 0.500 0.839

Calculated values
The symmetry is P4/mmm (123). The value obtained for the formation energy from the elements is -483 meV/atom.

=====

# 4
# Al2RuCl

A relaxed Al2RuCl crystal (PBE, Alexandria via LeMat-Bulk).

abc: 4.513 4.513 4.513
angles: 60.00 60.00 60.00
Fractional coordinates of all 4 atoms:
Al1 0.250 0.250 0.250
Al2 0.750 0.750 0.750
Ru1 0.000 0.000 0.000
Cl1 0.500 0.500 0.500

Calculated values
The symmetry is Fm-3m (225). For the uncorrected formation energy, the calculation gives 402 meV per atom. As for the offset from the most stable computed form: 1022 meV per atom.

=====

# 5
# TbPm2Tl

A relaxed TbPm2Tl crystal (PBE, Alexandria via LeMat-Bulk).

abc: 11.135 11.135 11.135
angles: 19.17 19.17 19.17
Fractional coordinates of all 4 atoms:
Tb1 0.000 0.000 0.000
Pm1 0.579 0.579 0.579
Pm2 0.755 0.755 0.755
Tl1 0.166 0.166 0.166

Calculated values
The symmetry is R3m (160). As for the offset from the most stable computed form: 97 meV per atom. The value obtained for the formation energy from the elements is -98 meV/atom.

=====

# 6
# GdZrAgSn

A relaxed GdZrAgSn crystal (PBE, Alexandria via LeMat-Bulk).

abc: 5.104 5.104 5.104
angles: 60.00 60.00 60.00
Fractional coordinates of all 4 atoms:
Gd1 0.000 0.000 0.000
Zr1 0.500 0.500 0.500
Ag1 0.250 0.250 0.250
Sn1 0.750 0.750 0.750

Calculated values
The symmetry is F-43m (216). The value obtained for the formation energy from the elements is -316 meV/atom.

=====

# 7
# CeScAl2

A relaxed CeScAl2 crystal (PBE, Alexandria via LeMat-Bulk).

abc: 4.990 4.990 4.990
angles: 60.00 60.00 60.00
Fractional coordinates of all 4 atoms:
Ce1 0.000 0.000 0.000
Sc1 0.500 0.500 0.500
Al1 0.250 0.250 0.250
Al2 0.750 0.750 0.750

Calculated values
The symmetry is Fm-3m (225). As for the offset from the most stable computed form: 30 meV per atom. The value obtained for the formation energy from the elements is -351 meV/atom.

=====

# 8
# Nd12DyY5

A relaxed Nd12DyY5 crystal (PBE, Alexandria via LeMat-Bulk).

abc: 10.926 10.926 5.162
angles: 90.00 90.00 90.23
Fractional coordinates of all 18 atoms:
Nd1 0.001 0.668 0.500
Nd2 0.165 0.165 0.000
Nd3 0.167 0.500 0.000
Nd4 0.332 0.999 0.500
Nd5 0.334 0.334 0.500
Nd6 0.500 0.167 0.000
Nd7 0.500 0.833 0.000
Nd8 0.666 0.666 0.500
Nd9 0.668 0.001 0.500
Nd10 0.833 0.500 0.000
Nd11 0.835 0.835 0.000
Nd12 0.999 0.332 0.500
Dy1 0.000 0.000 0.500
Y1 0.166 0.834 0.000
Y2 0.334 0.666 0.500
Y3 0.500 0.500 0.000
Y4 0.666 0.334 0.500
Y5 0.834 0.166 0.000

Calculated values
The symmetry is Cmmm (65). The value obtained for the formation energy from the elements is 17 meV/atom.

=====

# 9
# Ba3Sr7

A relaxed Ba3Sr7 crystal (PBE, Alexandria via LeMat-Bulk).

abc: 13.173 13.173 7.980
angles: 90.00 90.00 120.00
Fractional coordinates of all 20 atoms:
Ba1 0.220 0.440 0.000
Ba2 0.220 0.780 0.000
Ba3 0.440 0.220 0.500
Ba4 0.560 0.780 0.000
Ba5 0.780 0.220 0.500
Ba6 0.780 0.560 0.500
Sr1 0.001 0.500 0.251
Sr2 0.132 0.264 0.500
Sr3 0.132 0.868 0.500
Sr4 0.264 0.132 0.000
Sr5 0.333 0.667 0.502
Sr6 0.500 0.001 0.751
Sr7 0.500 0.500 0.251
Sr8 0.500 0.500 0.751
Sr9 0.500 0.999 0.251
Sr10 0.667 0.333 0.002
Sr11 0.736 0.868 0.500
Sr12 0.868 0.132 0.000
Sr13 0.868 0.736 0.000
Sr14 0.999 0.500 0.751

Calculated values
The symmetry is P6_3mc (186). As for the offset from the most stable computed form: 104 meV per atom. The value obtained for the formation energy from the elements is 112 meV/atom.

=====

# 10
# NiTe2Ru

A relaxed NiTe2Ru crystal (PBE, Alexandria via LeMat-Bulk).

abc: 7.109 7.109 7.109
angles: 131.65 131.65 70.78
Fractional coordinates of all 8 atoms:
Ni1 0.000 0.000 0.000
Ni2 0.750 0.250 0.500
Te1 0.115 0.625 0.990
Te2 0.375 0.365 0.490
Te3 0.635 0.125 0.010
Te4 0.875 0.885 0.510
Ru1 0.250 0.750 0.500
Ru2 0.500 0.500 0.000

Calculated values
The symmetry is I-42d (122). For the uncorrected formation energy, the calculation gives 111 meV per atom. As for the offset from the most stable computed form: 112 meV per atom.

=====

# 11
# TmPu2Zr

A relaxed TmPu2Zr crystal (PBE, Alexandria via LeMat-Bulk).

abc: 11.038 11.038 11.038
angles: 17.36 17.36 17.36
Fractional coordinates of all 4 atoms:
Tm1 0.000 0.000 0.000
Pu1 0.246 0.246 0.246
Pu2 0.754 0.754 0.754
Zr1 0.500 0.500 0.500

Calculated values
The symmetry is R-3m (166). As for the offset from the most stable computed form: 16 meV per atom. The value obtained for the formation energy from the elements is 163 meV/atom.

=====

# 12
# Mg2CoOs

A relaxed Mg2CoOs crystal (PBE, Alexandria via LeMat-Bulk).

abc: 4.668 4.668 4.909
angles: 98.39 98.39 33.65
Fractional coordinates of all 4 atoms:
Mg1 0.246 0.246 0.246
Mg2 0.754 0.754 0.754
Co1 0.500 0.500 0.000
Os1 0.000 0.000 0.500

Calculated values
The symmetry is C2/m (12). As for the offset from the most stable computed form: 181 meV per atom. The value obtained for the formation energy from the elements is 283 meV/atom.

=====

no.,magnetic moment (μB/cell),energy (eV per atom)
1,0.0,-5.404
2,0.0,-2.724
3,0.0,-5.417
4,0.6,-4.250
5,0.3,-4.223
6,7.3,-7.687
7,0.7,-5.289
8,0.0,-5.212
9,0.0,-1.642
10,0.0,-5.224
11,11.5,-10.257
12,0.6,-5.098